A relaxed NiHgPd2C crystal, computed with PBE.

As for the calculated formation energy: 0.161 eV/atom.

The space group is P4/mmm (No. 123) and the conventional cell measures 4.2800, 4.2800 and 3.7926 Å, with angles of 90.00, 90.00 and 90.00 degrees. The asymmetric unit holds Ni at (0.0000, 0.0000, 0.0000), Hg at (0.5000, 0.5000, 0.0000), Pd at (0.0000, 0.5000, 0.5000) and C at (0.0000, 0.0000, 0.5000).


A relaxed Ca2MoP crystal, computed with PBE.

As for the calculated formation energy: 0.116 eV/atom.

The space group is I-42d (No. 122) and the conventional cell measures 10.2761, 10.2761 and 4.6272 Å, with angles of 90.00, 90.00 and 90.00 degrees. The asymmetric unit holds Ca at (0.0958, 0.7500, 0.1250), Mo at (0.0000, 0.0000, 0.5000) and P at (0.0000, 0.0000, 0.0000).


A relaxed HfTlPb2 crystal, computed with PBE.

As for the calculated formation energy: 0.326 eV/atom. The value obtained for the energy above the most stable polymorph in this dataset is 256.9 meV/atom.

The space group is R-3m (No. 166, hexagonal axes) and the conventional cell measures 3.3360, 3.3360 and 36.6314 Å, with angles of 90.00, 90.00 and 120.00 degrees. The asymmetric unit holds Hf at (0.0000, 0.0000, 0.0000), Tl at (0.0000, 0.0000, 0.5000) and Pb at (0.0000, 0.0000, 0.0818).


A relaxed CaOs2 crystal, computed with PBE.

As for the calculated formation energy: 0.373 eV/atom.

The space group is I4_1/amd (No. 141, origin choice 2) and the conventional cell measures 4.2850, 4.2850 and 14.2102 Å, with angles of 90.00, 90.00 and 90.00 degrees. The asymmetric unit holds Ca at (0.0000, 0.2500, 0.3750) and Os at (0.0000, 0.2500, 0.7909).


A relaxed KCuIr crystal, computed with PBE.

As for the calculated formation energy: 2.042 eV/atom. The value obtained for the energy above the most stable polymorph in this dataset is 1634.8 meV/atom.

The space group is F-43m (No. 216) and the conventional cell measures 6.6678, 6.6678 and 6.6678 Å, with angles of 90.00, 90.00 and 90.00 degrees. The asymmetric unit holds K at (0.0000, 0.0000, 0.0000), Cu at (0.2500, 0.2500, 0.7500) and Ir at (0.2500, 0.2500, 0.2500).


A relaxed LaTiAg2 crystal, computed with PBE.

As for the calculated formation energy: 0.071 eV/atom. The value obtained for the energy above the most stable polymorph in this dataset is 0.0 meV/atom.

The space group is Fm-3m (No. 225) and the conventional cell measures 7.2003, 7.2003 and 7.2003 Å, with angles of 90.00, 90.00 and 90.00 degrees. The asymmetric unit holds La at (0.0000, 0.0000, 0.0000), Ti at (0.0000, 0.0000, 0.5000) and Ag at (0.2500, 0.2500, 0.2500).


A relaxed Cd2FeCu2 crystal, computed with PBE.

As for the calculated formation energy: 0.299 eV/atom.

The space group is P4/mbm (No. 127) and the conventional cell measures 6.3586, 6.3586 and 4.0411 Å, with angles of 90.00, 90.00 and 90.00 degrees. The asymmetric unit holds Cd at (0.1745, 0.3255, 0.0000), Fe at (0.0000, 0.0000, 0.5000) and Cu at (0.1336, 0.6336, 0.5000).


A relaxed La3Pr3GaHg2 crystal, computed with PBE.

As for the calculated formation energy: -0.324 eV/atom.

The space group is P-62m (No. 189) and the conventional cell measures 8.7994, 8.7994 and 4.1802 Å, with angles of 90.00, 90.00 and 120.00 degrees. The asymmetric unit holds La at (0.0000, 0.7411, 0.0000), Pr at (0.0000, 0.3990, 0.5000), Ga at (0.0000, 0.0000, 0.5000) and Hg at (0.3333, 0.6667, 0.0000).


A relaxed Pm2MgPt2 crystal, computed with PBE.

As for the calculated formation energy: -0.936 eV/atom. The value obtained for the energy above the most stable polymorph in this dataset is 27.9 meV/atom.

The space group is Ibam (No. 72) and the conventional cell measures 7.7845, 10.9565 and 5.8755 Å, with angles of 90.00, 90.00 and 90.00 degrees. The asymmetric unit holds Pm at (0.1449, 0.1521, 0.0000), Mg at (0.0000, 0.5000, 0.2500) and Pt at (0.2348, 0.1028, 0.5000).


A relaxed Cd2HgRu crystal, computed with PBE.

As for the calculated formation energy: 0.499 eV/atom.

The space group is I-42d (No. 122) and the conventional cell measures 4.1010, 4.1010 and 19.8787 Å, with angles of 90.00, 90.00 and 90.00 degrees. The asymmetric unit holds Cd at (0.2335, 0.2500, 0.1250), Hg at (0.0000, 0.0000, 0.5000) and Ru at (0.0000, 0.0000, 0.0000).


A relaxed Ti2GaHgPt crystal, computed with PBE.

As for the calculated formation energy: 1.069 eV/atom.

The space group is P4/mmm (No. 123) and the conventional cell measures 4.9936, 4.9936 and 4.6423 Å, with angles of 90.00, 90.00 and 90.00 degrees. The asymmetric unit holds Ti at (0.0000, 0.5000, 0.0000), Ga at (0.0000, 0.0000, 0.5000), Hg at (0.0000, 0.0000, 0.0000) and Pt at (0.5000, 0.5000, 0.5000).


A relaxed LaGd2Si crystal, computed with PBE.

The raw formation energy comes out at -0.28 eV per atom. The value obtained for the energy above the most stable polymorph in this dataset is 0.0 meV/atom.

The space group is P4/mmm (No. 123) and the conventional cell measures 4.7702, 4.7702 and 4.6703 Å, with angles of 90.00, 90.00 and 90.00 degrees. The asymmetric unit holds La at (0.0000, 0.0000, 0.0000), Gd at (0.0000, 0.5000, 0.5000) and Si at (0.5000, 0.5000, 0.0000).


A relaxed VGeAsBr crystal, computed with PBE.

The raw formation energy comes out at -0.15 eV per atom. The value obtained for the energy above the most stable polymorph in this dataset is 46.9 meV/atom.

The space group is Pm (No. 6) and the conventional cell measures 3.4048, 3.3433 and 8.3112 Å, with angles of 90.00, 98.18 and 90.00 degrees. The asymmetric unit holds V at (0.0000, 0.0000, 0.0000), Ge at (0.7469, 0.0000, 0.3376), As at (0.5437, 0.5000, 0.1108) and Br at (0.9285, 0.5000, 0.7652).


A relaxed Li5TmPb6 crystal, computed with PBE.

As for the calculated formation energy: -0.296 eV/atom.

The space group is P2/m (No. 10) and the conventional cell measures 5.1628, 7.0816 and 8.0922 Å, with angles of 90.00, 106.37 and 90.00 degrees. The asymmetric unit holds Li at (0.0000, 0.0000, 0.0000), Li at (0.2903, 0.0000, 0.6602), Li at (0.3146, 0.5000, 0.6776), Tm at (0.0000, 0.5000, 0.0000), Pb at (0.2018, 0.2468, 0.3460) and Pb at (0.5000, 0.2306, 0.0000).


A relaxed BPd4Pb crystal, computed with PBE.

As for the calculated formation energy: -0.198 eV/atom. The value obtained for the energy above the most stable polymorph in this dataset is 51.2 meV/atom.

The space group is Cmcm (No. 63) and the conventional cell measures 4.4013, 14.8802 and 5.9239 Å, with angles of 90.00, 90.00 and 90.00 degrees. The asymmetric unit holds B at (0.0000, 0.1048, 0.2500), Pd at (0.0000, 0.0000, 0.0000), Pd at (0.0000, 0.1956, 0.5038), Pd at (0.0000, 0.3889, 0.7500) and Pb at (0.0000, 0.3887, 0.2500).


A relaxed Pr2Be4ZnPt3 crystal, computed with PBE.

As for the calculated formation energy: -0.654 eV/atom.

The space group is P-4m2 (No. 115) and the conventional cell measures 4.1076, 4.1076 and 9.6815 Å, with angles of 90.00, 90.00 and 90.00 degrees. The asymmetric unit holds Pr at (0.0000, 0.5000, 0.2488), Be at (0.0000, 0.0000, 0.0000), Be at (0.0000, 0.5000, 0.6289), Be at (0.5000, 0.5000, 0.0000), Zn at (0.0000, 0.0000, 0.5000), Pt at (0.0000, 0.5000, 0.8832) and Pt at (0.5000, 0.5000, 0.5000).


A relaxed DyEr4Tm8 crystal, computed with PBE.

As for the calculated formation energy: 0.234 eV/atom.

The space group is R-3m (No. 166, hexagonal axes) and the conventional cell measures 7.1732, 7.1732 and 26.7395 Å, with angles of 90.00, 90.00 and 120.00 degrees. The asymmetric unit holds Dy at (0.0000, 0.0000, 0.0000), Er at (0.0000, 0.0000, 0.5000), Er at (0.0000, 0.5000, 0.5000), Tm at (0.0000, 0.0000, 0.2835) and Tm at (0.0367, 0.5183, 0.2679).


A relaxed HfMn2Se4 crystal, computed with PBE.

The raw formation energy comes out at -0.75 eV per atom.

The space group is P4_122 (No. 91) and the conventional cell measures 7.8785, 7.8785 and 11.0461 Å, with angles of 90.00, 90.00 and 90.00 degrees. The asymmetric unit holds Hf at (0.0000, 0.2603, 0.0000), Mn at (0.2499, 0.5000, 0.7500), Mn at (0.2522, 0.2522, 0.3750), Se at (0.0126, 0.2443, 0.7569) and Se at (0.2492, 0.4839, 0.9946).


A relaxed Tb6Pr3Dy2 crystal, computed with PBE.

As for the calculated formation energy: 0.268 eV/atom. The value obtained for the energy above the most stable polymorph in this dataset is 111.9 meV/atom.

The space group is I4/mmm (No. 139) and the conventional cell measures 4.7899, 4.7899 and 33.3818 Å, with angles of 90.00, 90.00 and 90.00 degrees. The asymmetric unit holds Tb at (0.0000, 0.0000, 0.1921), Tb at (0.0000, 0.5000, 0.1197), Pr at (0.0000, 0.0000, 0.2959), Pr at (0.0000, 0.0000, 0.5000) and Dy at (0.0000, 0.0000, 0.0460).


A relaxed SrMoRh2 crystal, computed with PBE.

As for the calculated formation energy: 0.201 eV/atom. The value obtained for the energy above the most stable polymorph in this dataset is 180.8 meV/atom.

The space group is C2/m (No. 12) and the conventional cell measures 7.4461, 2.9159 and 7.3119 Å, with angles of 90.00, 93.40 and 90.00 degrees. The asymmetric unit holds Sr at (0.0000, 0.0000, 0.0000), Mo at (0.0000, 0.5000, 0.5000) and Rh at (0.2497, 0.0000, 0.6952).


A relaxed AlGa8Tc2 crystal, computed with PBE.

As for the calculated formation energy: 0.024 eV/atom.

The space group is C2/m (No. 12) and the conventional cell measures 7.1471, 11.5256 and 4.9535 Å, with angles of 90.00, 105.58 and 90.00 degrees. The asymmetric unit holds Al at (0.0000, 0.0000, 0.0000), Ga at (0.0000, 0.2558, 0.0000), Ga at (0.1100, 0.5000, 0.7777), Ga at (0.2039, 0.1102, 0.6034) and Tc at (0.0000, 0.2942, 0.5000).


A relaxed K4Hg3O crystal, computed with PBE.

The raw formation energy comes out at -0.44 eV per atom.

The space group is Imm2 (No. 44) and the conventional cell measures 7.8725, 12.6571 and 6.7589 Å, with angles of 90.00, 90.00 and 90.00 degrees. The asymmetric unit holds K at (0.0000, 0.1608, 0.0000), K at (0.2503, 0.0000, 0.5995), Hg at (0.0000, 0.2693, 0.4895), Hg at (0.0000, 0.5000, 0.6106) and O at (0.0000, 0.0000, 0.8052).


A relaxed TcTe2RuN crystal, computed with PBE.

The raw formation energy comes out at 0.78 eV per atom. The value obtained for the energy above the most stable polymorph in this dataset is 9.0 meV/atom.

The space group is P4/mmm (No. 123) and the conventional cell measures 5.2998, 5.2998 and 3.6555 Å, with angles of 90.00, 90.00 and 90.00 degrees. The asymmetric unit holds Tc at (0.0000, 0.0000, 0.0000), Te at (0.0000, 0.5000, 0.0000), Ru at (0.5000, 0.5000, 0.5000) and N at (0.0000, 0.0000, 0.5000).


A relaxed Ce2CuP crystal, computed with PBE.

As for the calculated formation energy: -0.598 eV/atom.

The space group is R3m (No. 160, hexagonal axes) and the conventional cell measures 3.9414, 3.9414 and 22.0162 Å, with angles of 90.00, 90.00 and 120.00 degrees. The asymmetric unit holds Ce at (0.0000, 0.0000, 0.0000), Ce at (0.0000, 0.0000, 0.1800), Cu at (0.0000, 0.0000, 0.4237) and P at (0.0000, 0.0000, 0.5901).